[1]
## LaAg2Os (GGA-PBE)

Data for an optimized crystal structure of LaAg2Os.

a = 10.6622 Å, b = 10.6622 Å, c = 10.6622 Å
α = 15.83°, β = 15.83°, γ = 15.83°
Fractional positions:
1 La 0.0000 0.0000 0.0000
2 Ag 0.2402 0.2402 0.2402
3 Ag 0.7598 0.7598 0.7598
4 Os 0.5000 0.5000 0.5000

* Fermi-level density of states: 2.043 states/eV/f.u.
* energy of formation: 666 meV per atom
* E above lowest polymorph: 453 meV per atom
* theoretical density: 11.51 g cm⁻³
* total DFT energy (no corrections): -4.80 eV per atom

***

[2]
## Hg2SN2Cl4O3 (GGA-PBE)

Data for an optimized crystal structure of Hg2SN2Cl4O3.

a = 10.5353 Å, b = 5.4170 Å, c = 13.0067 Å
α = 90.00°, β = 99.64°, γ = 90.00°
Fractional positions:
1 Hg 0.0019 0.2500 0.3788
2 Hg 0.0167 0.7500 0.1260
3 Hg 0.9833 0.2500 0.8740
4 Hg 0.9981 0.7500 0.6212
5 S 0.4302 0.7500 0.2244
6 S 0.5698 0.2500 0.7756
7 N 0.3345 0.2500 0.8593
8 N 0.3591 0.7500 0.5716
9 N 0.6409 0.2500 0.4284
10 N 0.6656 0.7500 0.1407
11 Cl 0.1251 0.7500 0.7852
12 Cl 0.1319 0.2500 0.0281
13 Cl 0.1335 0.2500 0.5415
14 Cl 0.1569 0.7500 0.2859
15 Cl 0.8431 0.2500 0.7141
16 Cl 0.8665 0.7500 0.4585
17 Cl 0.8681 0.7500 0.9719
18 Cl 0.8749 0.2500 0.2148
19 O 0.4006 0.5205 0.1706
20 O 0.4006 0.9795 0.1706
21 O 0.4926 0.7500 0.3315
22 O 0.5074 0.2500 0.6685
23 O 0.5994 0.0205 0.8294
24 O 0.5994 0.4795 0.8294

* formation energy from raw total energies: 224 meV/atom
* Fermi-level density of states: 0.000 states/eV/f.u.
* theoretical density: 2.95 g cm⁻³
* total DFT energy (no corrections): -3.41 eV per atom